Record 1
TbHo3Pd: optimized geometry, PBE.

## Properties
crystal system = monoclinic
polymorph energy (0 for the lowest one) = 0.015 eV per atom
formation enthalpy at 0 K = -0.249 eV/atom

```
data_TbHo3Pd
_space_group_name_H-M_alt 'C 1 2/m 1'
_space_group_IT_number 12
_cell_length_a 24.3395
_cell_length_b 4.9430
_cell_length_c 4.9152
_cell_angle_alpha 90.00
_cell_angle_beta 101.59
_cell_angle_gamma 90.00
loop_
_space_group_symop_operation_xyz
'x,y,z'
'-x,-y,-z'
'-x,y,-z'
'x,-y,z'
'x+1/2,y+1/2,z'
'-x+1/2,-y+1/2,-z'
'-x+1/2,y+1/2,-z'
'x+1/2,-y+1/2,z'
loop_
_atom_site_label
_atom_site_type_symbol
_atom_site_fract_x
_atom_site_fract_y
_atom_site_fract_z
Tb1 Tb 0.0538 0.0000 0.3035
Ho1 Ho 0.0544 0.5000 0.8042
Ho2 Ho 0.1960 0.0000 0.4464
Ho3 Ho 0.1968 0.5000 0.9471
Pd1 Pd 0.1262 0.5000 0.3764
```


Record 2
Tb4HoPd15: optimized geometry, PBE.

## Properties
crystal system = tetragonal
formation enthalpy at 0 K = -0.874 eV/atom

```
data_Tb4HoPd15
_space_group_name_H-M_alt 'P 4/m m m'
_space_group_IT_number 123
_space_group_name_Hall '-P 4 2'
_cell_length_a 4.1185
_cell_length_b 4.1185
_cell_length_c 20.7557
_cell_angle_alpha 90.00
_cell_angle_beta 90.00
_cell_angle_gamma 90.00
loop_
_atom_site_label
_atom_site_type_symbol
_atom_site_fract_x
_atom_site_fract_y
_atom_site_fract_z
Tb1 Tb 0.0000 0.0000 0.1002
Tb2 Tb 0.0000 0.0000 0.3007
Ho1 Ho 0.0000 0.0000 0.5000
Pd1 Pd 0.0000 0.5000 0.0000
Pd2 Pd 0.0000 0.5000 0.2004
Pd3 Pd 0.0000 0.5000 0.4009
Pd4 Pd 0.5000 0.5000 0.1002
Pd5 Pd 0.5000 0.5000 0.3006
Pd6 Pd 0.5000 0.5000 0.5000
```


Record 3
Tb2HoPd8: optimized geometry, PBE.

## Properties
crystal system = monoclinic
formation enthalpy at 0 K = -0.759 eV/atom

```
data_Tb2HoPd8
_space_group_name_H-M_alt 'C 1 2/m 1'
_space_group_IT_number 12
_cell_length_a 14.8368
_cell_length_b 4.2127
_cell_length_c 6.7783
_cell_angle_alpha 90.00
_cell_angle_beta 108.55
_cell_angle_gamma 90.00
loop_
_space_group_symop_operation_xyz
'x,y,z'
'-x,-y,-z'
'-x,y,-z'
'x,-y,z'
'x+1/2,y+1/2,z'
'-x+1/2,-y+1/2,-z'
'-x+1/2,y+1/2,-z'
'x+1/2,-y+1/2,z'
loop_
_atom_site_label
_atom_site_type_symbol
_atom_site_fract_x
_atom_site_fract_y
_atom_site_fract_z
Tb1 Tb 0.2173 0.0000 0.1661
Ho1 Ho 0.0000 0.5000 0.5000
Pd1 Pd 0.0367 0.0000 0.2183
Pd2 Pd 0.0907 0.5000 0.9492
Pd3 Pd 0.1407 0.0000 0.6775
Pd4 Pd 0.1764 0.5000 0.4059
```


Record 4
Tb4Ho3Pd4: optimized geometry, PBE.

## Properties
crystal system = orthorhombic
formation enthalpy at 0 K = -0.582 eV/atom

```
data_Tb4Ho3Pd4
_space_group_name_H-M_alt 'I m m m'
_space_group_IT_number 71
_space_group_name_Hall '-I 2 2'
_cell_length_a 3.8296
_cell_length_b 9.1830
_cell_length_c 15.8426
_cell_angle_alpha 90.00
_cell_angle_beta 90.00
_cell_angle_gamma 90.00
loop_
_atom_site_label
_atom_site_type_symbol
_atom_site_fract_x
_atom_site_fract_y
_atom_site_fract_z
Tb1 Tb 0.0000 0.1859 0.1610
Ho1 Ho 0.0000 0.0000 0.3925
Ho2 Ho 0.0000 0.5000 0.5000
Pd1 Pd 0.0000 0.3321 0.0000
Pd2 Pd 0.0000 0.5000 0.2524
```


Record 5
Tb3HoPd2: optimized geometry, PBE.

## Properties
crystal system = orthorhombic
formation enthalpy at 0 K = -0.587 eV/atom

```
data_Tb3HoPd2
_space_group_name_H-M_alt 'P m c 21'
_space_group_IT_number 26
_cell_length_a 3.7720
_cell_length_b 9.7875
_cell_length_c 8.5281
_cell_angle_alpha 90.00
_cell_angle_beta 90.00
_cell_angle_gamma 90.00
loop_
_space_group_symop_operation_xyz
'x,y,z'
'-x,-y,z+1/2'
'-x,y,z'
'x,-y,z+1/2'
loop_
_atom_site_label
_atom_site_type_symbol
_atom_site_fract_x
_atom_site_fract_y
_atom_site_fract_z
Tb1 Tb 0.0000 0.0658 0.0000
Tb2 Tb 0.0000 0.2848 0.3410
Tb3 Tb 0.5000 0.2171 0.6790
Ho1 Ho 0.5000 0.4353 0.0194
Pd1 Pd 0.0000 0.4291 0.7465
Pd2 Pd 0.5000 0.0723 0.2736
```


Record 6
Tb2Ho3Pd2: optimized geometry, PBE.

## Properties
crystal system = monoclinic
polymorph energy (0 for the lowest one) = 0.000 eV per atom
formation enthalpy at 0 K = -0.531 eV/atom

```
data_Tb2Ho3Pd2
_space_group_name_H-M_alt 'C 1 2/m 1'
_space_group_IT_number 12
_cell_length_a 12.3710
_cell_length_b 3.7076
_cell_length_c 9.0547
_cell_angle_alpha 90.00
_cell_angle_beta 116.94
_cell_angle_gamma 90.00
loop_
_space_group_symop_operation_xyz
'x,y,z'
'-x,-y,-z'
'-x,y,-z'
'x,-y,z'
'x+1/2,y+1/2,z'
'-x+1/2,-y+1/2,-z'
'-x+1/2,y+1/2,-z'
'x+1/2,-y+1/2,z'
loop_
_atom_site_label
_atom_site_type_symbol
_atom_site_fract_x
_atom_site_fract_y
_atom_site_fract_z
Tb1 Tb 0.1565 0.0000 0.3128
Ho1 Ho 0.0000 0.5000 0.5000
Ho2 Ho 0.1137 0.5000 0.9404
Pd1 Pd 0.1695 0.0000 0.7365
```


Record 7
Tb3HoPd12: optimized geometry, PBE.

## Properties
crystal system = tetragonal
formation enthalpy at 0 K = -0.872 eV/atom

```
data_Tb3HoPd12
_space_group_name_H-M_alt 'P 4/m m m'
_space_group_IT_number 123
_space_group_name_Hall '-P 4 2'
_cell_length_a 4.1192
_cell_length_b 4.1192
_cell_length_c 16.5850
_cell_angle_alpha 90.00
_cell_angle_beta 90.00
_cell_angle_gamma 90.00
loop_
_atom_site_label
_atom_site_type_symbol
_atom_site_fract_x
_atom_site_fract_y
_atom_site_fract_z
Tb1 Tb 0.0000 0.0000 0.0000
Tb2 Tb 0.0000 0.0000 0.2508
Ho1 Ho 0.0000 0.0000 0.5000
Pd1 Pd 0.0000 0.5000 0.1253
Pd2 Pd 0.0000 0.5000 0.3761
Pd3 Pd 0.5000 0.5000 0.0000
Pd4 Pd 0.5000 0.5000 0.2506
Pd5 Pd 0.5000 0.5000 0.5000
```


Record 8
TbHoPd: optimized geometry, PBE.

## Properties
crystal system = trigonal
polymorph energy (0 for the lowest one) = 0.158 eV per atom
formation enthalpy at 0 K = -0.403 eV/atom

```
data_TbHoPd
_space_group_name_H-M_alt 'P 3 m 1'
_space_group_IT_number 156
_cell_length_a 4.7850
_cell_length_b 4.7850
_cell_length_c 3.7771
_cell_angle_alpha 90.00
_cell_angle_beta 90.00
_cell_angle_gamma 120.00
loop_
_space_group_symop_operation_xyz
'x,y,z'
'-y,x-y,z'
'-x+y,-x,z'
'-y,-x,z'
'-x+y,y,z'
'x,x-y,z'
loop_
_atom_site_label
_atom_site_type_symbol
_atom_site_fract_x
_atom_site_fract_y
_atom_site_fract_z
Tb1 Tb 0.0000 0.0000 0.0000
Ho1 Ho 0.3333 0.6667 0.4623
Pd1 Pd 0.6667 0.3333 0.7137
```